No. 1
Below is crystalline PrEuIr at its relaxed geometry, with properties calculated at the PBE level.

Unit cell a=6.4479 b=4.2197 c=4.2197 alpha=120.00 beta=90.00 gamma=90.00
Closest atoms and distances in Å follow each position.
Fractional coordinates of all 3 atoms:
1 Ir 0.0075 0.0000 0.0000  3 Pr 2.83, 3 Eu 2.91
2 Pr 0.2318 0.3333 0.6667  3 Ir 2.83
3 Eu 0.7607 0.6667 0.3333  3 Ir 2.91

- ΔH_f (0 K) (eV per atom) = -0.38
- E above lowest polymorph (meV per atom) = 64

=====

No. 2
Below is crystalline GaP2Pb at its relaxed geometry, with properties calculated at the PBE level.

Unit cell a=6.0296 b=6.0296 c=7.1668 alpha=65.12 beta=65.12 gamma=90.00
Closest atoms and distances in Å follow each position.
Fractional coordinates of all 8 atoms:
1 P 0.1793 0.6250 0.2500  2 Ga 2.40
2 P 0.8750 0.8207 0.7500  2 Ga 2.40
3 P 0.5707 0.1250 0.2500  2 Ga 2.40
4 P 0.3750 0.4293 0.7500  2 Ga 2.40
5 Ga 0.5000 0.5000 0.0000  4 P 2.40
6 Ga 0.2500 0.7500 0.5000  4 P 2.40
7 Pb 0.7500 0.2500 0.5000  4 P 2.78
8 Pb 0.0000 0.0000 0.0000  4 P 2.78

- ΔH_f (0 K) (eV per atom) = 0.01
- E above lowest polymorph (meV per atom) = 0

=====

No. 3
Below is crystalline HfCoPS2 at its relaxed geometry, with properties calculated at the PBE level.

Unit cell a=4.8692 b=4.8692 c=5.0345 alpha=90.00 beta=90.00 gamma=90.00
Closest atoms and distances in Å follow each position.
Fractional coordinates of all 5 atoms:
1 S 0.5000 0.0000 0.0000  2 Hf 2.43
2 S 0.0000 0.5000 0.0000  2 Hf 2.43
3 Hf 0.0000 0.0000 0.0000  4 S 2.43, 2 P 2.52
4 P 0.0000 0.0000 0.5000  2 Hf 2.52
5 Co 0.5000 0.5000 0.5000  4 P 3.44, 8 S 3.50

- formation energy from raw total energies (eV/atom) = 0.35
- E above lowest polymorph (meV per atom) = 325

=====

No. 4
Below is crystalline NiAs2AuSe at its relaxed geometry, with properties calculated at the PBE level.

Unit cell a=4.9754 b=4.9754 c=5.1448 alpha=90.00 beta=90.00 gamma=90.00
Closest atoms and distances in Å follow each position.
Fractional coordinates of all 5 atoms:
1 Ni 0.5000 0.5000 0.5000  4 Se 3.52, 8 As 3.58
2 As 0.5000 0.0000 0.0000  2 Au 2.49
3 As 0.0000 0.5000 0.0000  2 Au 2.49
4 Au 0.0000 0.0000 0.0000  4 As 2.49, 2 Se 2.57
5 Se 0.0000 0.0000 0.5000  2 Au 2.57

- formation energy from raw total energies (eV/atom) = 1.19
- E above lowest polymorph (meV per atom) = 719